Material: BaLi2Sc
Method: DFT, PBE
State: optimized geometry

## Properties
The energy above the lowest structure with this stoichiometry comes out at 0.063 eV/atom. Its density of states at the Fermi level is 1.287 states/eV per atom. For the formation energy, the calculation gives 0.29 eV/atom. The density comes out at 2.611 Mg/m³. As for the symmetry: Pm, No. 6.

Cell and atoms, written as CIF:
```
data_BaLi2Sc
_chemical_formula_sum 'Ba1 Li2 Sc1'
_cell_length_a 3.7132
_cell_length_b 4.6012
_cell_length_c 7.5287
_cell_angle_alpha 90.00
_cell_angle_beta 104.11
_cell_angle_gamma 90.00
_space_group_name_H-M_alt 'P 1'
_space_group_IT_number 1
loop_
_space_group_symop_operation_xyz
'x,y,z'
loop_
_atom_site_label
_atom_site_type_symbol
_atom_site_fract_x
_atom_site_fract_y
_atom_site_fract_z
Ba1 Ba 0.0000 0.0000 0.0000
Li1 Li 0.6420 0.5000 0.2867
Li2 Li 0.7578 0.0000 0.5070
Sc1 Sc 0.3335 0.5000 0.6626
```

---

Material: BaSbTeI2
Method: DFT, PBE
State: optimized geometry

## Properties
The energy above the lowest structure with this stoichiometry comes out at 0.319 eV/atom. Its density of states at the Fermi level is 0.890 states/eV per atom. Its uncorrected formation energy is -0.35 eV/atom. The density comes out at 4.835 Mg/m³. As for the symmetry: P4/mmm, No. 123.

Cell and atoms, written as CIF:
```
data_BaSbTeI2
_chemical_formula_sum 'Ba1 Sb1 Te1 I2'
_cell_length_a 6.1001
_cell_length_b 6.1001
_cell_length_c 5.9121
_cell_angle_alpha 90.00
_cell_angle_beta 90.00
_cell_angle_gamma 90.00
_space_group_name_H-M_alt 'P 1'
_space_group_IT_number 1
loop_
_space_group_symop_operation_xyz
'x,y,z'
loop_
_atom_site_label
_atom_site_type_symbol
_atom_site_fract_x
_atom_site_fract_y
_atom_site_fract_z
Ba1 Ba 0.0000 0.0000 0.0000
Sb1 Sb 0.5000 0.5000 0.0000
Te1 Te 0.5000 0.5000 0.5000
I1 I 0.0000 0.5000 0.5000
I2 I 0.5000 0.0000 0.5000
```

---

Material: MnCoAs2
Method: DFT, PBE
State: optimized geometry

## Properties
The energy above the lowest structure with this stoichiometry comes out at 0.245 eV/atom. Its density of states at the Fermi level is 0.839 states/eV per atom. For the formation energy, the calculation gives 0.14 eV/atom. The density comes out at 6.417 Mg/m³. As for the symmetry: R3m, No. 160.

Cell and atoms, written as CIF:
```
data_MnCoAs2
_chemical_formula_sum 'Mn3 Co3 As6'
_cell_length_a 2.8943
_cell_length_b 2.8943
_cell_length_c 28.2206
_cell_angle_alpha 90.00
_cell_angle_beta 90.00
_cell_angle_gamma 120.00
_space_group_name_H-M_alt 'P 1'
_space_group_IT_number 1
loop_
_space_group_symop_operation_xyz
'x,y,z'
loop_
_atom_site_label
_atom_site_type_symbol
_atom_site_fract_x
_atom_site_fract_y
_atom_site_fract_z
Mn1 Mn 0.0000 0.0000 0.0000
Mn2 Mn 0.3333 0.6667 0.6667
Mn3 Mn 0.6667 0.3333 0.3333
Co1 Co 0.0000 0.0000 0.2664
Co2 Co 0.3333 0.6667 0.9331
Co3 Co 0.6667 0.3333 0.5997
As1 As 0.0000 0.0000 0.5384
As2 As 0.0000 0.0000 0.7346
As3 As 0.3333 0.6667 0.2051
As4 As 0.3333 0.6667 0.4012
As5 As 0.6667 0.3333 0.0679
As6 As 0.6667 0.3333 0.8717
```

---

Material: Tb6Pm2Ag
Method: DFT, PBE
State: optimized geometry

## Properties
Its density of states at the Fermi level is 1.470 states/eV per atom. For the formation energy, the calculation gives 0.02 eV/atom. The density comes out at 8.158 Mg/m³. As for the symmetry: Pnnm, No. 58.

Cell and atoms, written as CIF:
```
data_Tb6Pm2Ag
_chemical_formula_sum 'Tb12 Pm4 Ag2'
_cell_length_a 9.8261
_cell_length_b 10.2118
_cell_length_c 5.4831
_cell_angle_alpha 90.00
_cell_angle_beta 90.00
_cell_angle_gamma 90.00
_space_group_name_H-M_alt 'P 1'
_space_group_IT_number 1
loop_
_space_group_symop_operation_xyz
'x,y,z'
loop_
_atom_site_label
_atom_site_type_symbol
_atom_site_fract_x
_atom_site_fract_y
_atom_site_fract_z
Tb1 Tb 0.0187 0.1857 0.0000
Tb2 Tb 0.1350 0.6045 0.5000
Tb3 Tb 0.1867 0.9286 0.5000
Tb4 Tb 0.3133 0.4286 0.0000
Tb5 Tb 0.3650 0.1045 0.0000
Tb6 Tb 0.4813 0.6857 0.5000
Tb7 Tb 0.5187 0.3143 0.5000
Tb8 Tb 0.6350 0.8955 0.0000
Tb9 Tb 0.6867 0.5714 0.0000
Tb10 Tb 0.8133 0.0714 0.5000
Tb11 Tb 0.8650 0.3955 0.5000
Tb12 Tb 0.9813 0.8143 0.0000
Pm1 Pm 0.1905 0.2536 0.5000
Pm2 Pm 0.3095 0.7536 0.0000
Pm3 Pm 0.6905 0.2464 0.0000
Pm4 Pm 0.8095 0.7464 0.5000
Ag1 Ag 0.0000 0.5000 0.0000
Ag2 Ag 0.5000 0.0000 0.5000
```

---

Material: Nd2ZnIn2
Method: DFT, PBE
State: optimized geometry

## Properties
Its density of states at the Fermi level is 0.758 states/eV per atom. For the formation energy, the calculation gives -0.45 eV/atom. The density comes out at 7.166 Mg/m³. As for the symmetry: C2/m, No. 12.

Cell and atoms, written as CIF:
```
data_Nd2ZnIn2
_chemical_formula_sum 'Nd4 Zn2 In4'
_cell_length_a 6.1483
_cell_length_b 6.1483
_cell_length_c 11.2025
_cell_angle_alpha 114.50
_cell_angle_beta 114.50
_cell_angle_gamma 45.65
_space_group_name_H-M_alt 'P 1'
_space_group_IT_number 1
loop_
_space_group_symop_operation_xyz
'x,y,z'
loop_
_atom_site_label
_atom_site_type_symbol
_atom_site_fract_x
_atom_site_fract_y
_atom_site_fract_z
Nd1 Nd 0.0244 0.0244 0.3390
Nd2 Nd 0.1792 0.1792 0.0938
Nd3 Nd 0.8208 0.8208 0.9062
Nd4 Nd 0.9756 0.9756 0.6610
Zn1 Zn 0.2744 0.2744 0.6585
Zn2 Zn 0.7256 0.7256 0.3415
In1 In 0.3540 0.3540 0.4298
In2 In 0.4799 0.4799 0.1249
In3 In 0.5201 0.5201 0.8751
In4 In 0.6460 0.6460 0.5702
```

---

Material: CsU2CuSe4
Method: DFT, PBE
State: optimized geometry

## Properties
Its density of states at the Fermi level is 1.377 states/eV per atom. Its uncorrected formation energy is -1.00 eV/atom. The density comes out at 7.341 Mg/m³. As for the symmetry: Cmcm, No. 63.

Cell and atoms, written as CIF:
```
data_CsU2CuSe4
_chemical_formula_sum 'Cs2 U4 Cu2 Se8'
_cell_length_a 7.6705
_cell_length_b 7.6705
_cell_length_c 14.5567
_cell_angle_alpha 90.00
_cell_angle_beta 90.00
_cell_angle_gamma 148.53
_space_group_name_H-M_alt 'P 1'
_space_group_IT_number 1
loop_
_space_group_symop_operation_xyz
'x,y,z'
loop_
_atom_site_label
_atom_site_type_symbol
_atom_site_fract_x
_atom_site_fract_y
_atom_site_fract_z
Cs1 Cs 0.1045 0.8955 0.7500
Cs2 Cs 0.8955 0.1045 0.2500
U1 U 0.3672 0.6328 0.5586
U2 U 0.3672 0.6328 0.9414
U3 U 0.6328 0.3672 0.0586
U4 U 0.6328 0.3672 0.4414
Cu1 Cu 0.1683 0.8317 0.2500
Cu2 Cu 0.8317 0.1683 0.7500
Se1 Se 0.0000 0.0000 0.0000
Se2 Se 0.0000 0.0000 0.5000
Se3 Se 0.2605 0.7395 0.1085
Se4 Se 0.2605 0.7395 0.3915
Se5 Se 0.4190 0.5810 0.7500
Se6 Se 0.5810 0.4190 0.2500
Se7 Se 0.7395 0.2605 0.6085
Se8 Se 0.7395 0.2605 0.8915
```

---

Material: K2SrCr
Method: DFT, PBE
State: optimized geometry

## Properties
The energy above the lowest structure with this stoichiometry comes out at 0.143 eV/atom. Its density of states at the Fermi level is 0.717 states/eV per atom. For the formation energy, the calculation gives 0.68 eV/atom. The density comes out at 1.940 Mg/m³. As for the symmetry: P2/m, No. 10.

Cell and atoms, written as CIF:
```
data_K2SrCr
_chemical_formula_sum 'K2 Sr1 Cr1'
_cell_length_a 4.1873
_cell_length_b 6.8792
_cell_length_c 6.5018
_cell_angle_alpha 90.00
_cell_angle_beta 95.45
_cell_angle_gamma 90.00
_space_group_name_H-M_alt 'P 1'
_space_group_IT_number 1
loop_
_space_group_symop_operation_xyz
'x,y,z'
loop_
_atom_site_label
_atom_site_type_symbol
_atom_site_fract_x
_atom_site_fract_y
_atom_site_fract_z
K1 K 0.2140 0.0000 0.2705
K2 K 0.7860 0.0000 0.7295
Sr1 Sr 0.5000 0.5000 0.0000
Cr1 Cr 0.0000 0.5000 0.5000
```

---

Material: YTmTh2As4
Method: DFT, PBE
State: optimized geometry

## Properties
Its density of states at the Fermi level is 0.483 states/eV per atom. For the formation energy, the calculation gives -1.46 eV/atom. The density comes out at 8.242 Mg/m³. As for the symmetry: P2/m, No. 10.

Cell and atoms, written as CIF:
```
data_YTmTh2As4
_chemical_formula_sum 'Y1 Tm1 Th2 As4'
_cell_length_a 7.1913
_cell_length_b 4.1895
_cell_length_c 7.2571
_cell_angle_alpha 90.00
_cell_angle_beta 109.71
_cell_angle_gamma 90.00
_space_group_name_H-M_alt 'P 1'
_space_group_IT_number 1
loop_
_space_group_symop_operation_xyz
'x,y,z'
loop_
_atom_site_label
_atom_site_type_symbol
_atom_site_fract_x
_atom_site_fract_y
_atom_site_fract_z
Y1 Y 0.0000 0.0000 0.0000
Tm1 Tm 0.0000 0.5000 0.5000
Th1 Th 0.5000 0.0000 0.5000
Th2 Th 0.5000 0.5000 0.0000
As1 As 0.2394 0.0000 0.7445
As2 As 0.2409 0.5000 0.2488
As3 As 0.7591 0.5000 0.7512
As4 As 0.7606 0.0000 0.2555
```